[1]
A plane-wave DFT calculation with PBE-GGA was carried out for a relaxed structure of Mg2PaZnN4.

abc: 3.2351 5.6723 11.2203
angles: 90.00 90.00 106.57
Each line ends with the local moment (μB).
Element x y z (fractional)
N 0.7431 0.4862 0.8728  0.04
N 0.5033 0.0066 0.2500  0.10
N 0.0000 0.0000 0.0000  0.50
N 0.7431 0.4862 0.6272  0.04
N 0.2569 0.5138 0.1272  0.04
N 0.0000 0.0000 0.5000  0.50
N 0.2569 0.5138 0.3728  0.04
N 0.4967 0.9934 0.7500  0.10
Zn 0.1148 0.2296 0.2500  0.00
Zn 0.8852 0.7704 0.7500  0.00
Mg 0.3696 0.7392 0.9707  0.00
Mg 0.3696 0.7392 0.5293  0.00
Mg 0.6304 0.2608 0.4707  0.00
Mg 0.6304 0.2608 0.0293  0.00
Pa 0.8496 0.6991 0.2500  0.00
Pa 0.1504 0.3009 0.7500  0.00

[2]
A plane-wave DFT calculation with PBE-GGA was carried out for a relaxed structure of Mg3Pa3ZnN8.

abc: 6.8489 6.7874 6.5151
angles: 122.22 90.00 120.30
Element x y z (fractional)
N 0.7510 0.5021 0.7490
N 0.2443 0.9828 0.7286
N 0.7659 0.5318 0.2739
N 0.7557 0.0172 0.2714
N 0.7385 0.9828 0.7286
N 0.2490 0.4979 0.2510
N 0.2341 0.4682 0.7261
N 0.2615 0.0172 0.2714
Pa 0.0000 0.5000 0.5000
Pa 0.5000 0.5000 0.5000
Pa 0.5000 0.0000 0.5000
Mg 0.5000 0.5000 0.0000
Mg 0.0000 0.0000 0.0000
Mg 0.0000 0.5000 0.0000
Zn 0.0000 0.0000 0.5000

[3]
A plane-wave DFT calculation with PBE-GGA was carried out for a relaxed structure of MgZr4PaN8.

abc: 6.5986 6.5986 6.4395
angles: 59.18 59.18 60.00
Element x y z (fractional)
Zr 0.0035 0.0035 0.4896
Zr 0.6244 0.6244 0.1268
Zr 0.5034 0.0035 0.4896
Zr 0.0035 0.5034 0.4896
N 0.7420 0.2335 0.2825
N 0.7833 0.2340 0.7486
N 0.2335 0.7420 0.2825
N 0.7590 0.7590 0.7229
N 0.2340 0.7833 0.7486
N 0.7420 0.7420 0.2825
N 0.2340 0.2340 0.7486
N 0.2461 0.2461 0.2617
Mg 0.9994 0.9994 0.0019
Pa 0.3918 0.3918 0.8245

[4]
A plane-wave DFT calculation with PBE-GGA was carried out for a relaxed structure of Mg2ZrPaN4.

abc: 3.3474 5.5678 5.7655
angles: 70.36 90.00 90.00
Element x y z (fractional)
Mg 0.5000 0.0000 0.5000
Mg 0.0000 0.0000 0.0000
Zr 0.0000 0.5000 0.5000
N 0.0000 0.7474 0.7463
N 0.0000 0.2526 0.2537
N 0.5000 0.2588 0.7476
N 0.5000 0.7412 0.2524
Pa 0.5000 0.5000 0.0000

[5]
A plane-wave DFT calculation with PBE-GGA was carried out for a relaxed structure of MgZr3Pa2N6.

abc: 3.3232 6.7247 7.4564
angles: 103.81 102.88 90.00
Element x y z (fractional)
N 0.3382 0.4062 0.6763
N 0.6631 0.0753 0.3262
N 0.3369 0.9247 0.6738
N 0.6618 0.5938 0.3237
N 0.9999 0.7498 0.9997
N 0.0001 0.2502 0.0003
Pa 0.1637 0.3284 0.3274
Pa 0.8363 0.6716 0.6726
Mg 0.5000 0.0000 0.0000
Zr 0.1621 0.8296 0.3241
Zr 0.5000 0.5000 0.0000
Zr 0.8379 0.1704 0.6759

[6]
A plane-wave DFT calculation with PBE-GGA was carried out for a relaxed structure of Mg2Pb2N.

abc: 4.2977 4.2977 8.1797
angles: 74.77 74.77 90.00
Each line ends with the local moment (μB).
Element x y z (fractional)
N 0.0000 0.0000 0.0000  1.23
Pb 0.2500 0.7500 0.5000  0.01
Pb 0.7500 0.2500 0.5000  0.01
Mg 0.5929 0.5929 0.8143  -0.01
Mg 0.4071 0.4071 0.1857  -0.01

Values from the calculation:
* energy above the most stable polymorph in this dataset: 4.75 eV/f.u.

[7]
A plane-wave DFT calculation with PBE-GGA was carried out for a relaxed structure of MgPbN3.

abc: 4.1315 4.1315 4.1315
angles: 90.00 90.00 90.00
Each line ends with the local moment (μB).
Element x y z (fractional)
N 0.0000 0.5000 0.0000  1.26
N 0.5000 0.0000 0.0000  1.18
N 0.0000 0.0000 0.5000  1.04
Mg 0.0000 0.0000 0.0000  0.00
Pb 0.5000 0.5000 0.5000  0.04

[8]
A plane-wave DFT calculation with PBE-GGA was carried out for a relaxed structure of Mg2Pb2N.

abc: 6.0531 6.0531 6.3324
angles: 90.00 90.00 90.00
Element x y z (fractional)
Mg 0.7809 0.7191 0.0000
Mg 0.2809 0.7809 0.0000
Mg 0.7191 0.2191 0.0000
Mg 0.2191 0.2809 0.0000
Pb 0.6806 0.8194 0.5000
Pb 0.8194 0.3194 0.5000
Pb 0.1806 0.6806 0.5000
Pb 0.3194 0.1806 0.5000
N 0.0000 0.0000 0.0000
N 0.5000 0.5000 0.0000

Values from the calculation:
* energy above the most stable polymorph in this dataset: 0.00 eV/f.u.

[9]
A plane-wave DFT calculation with PBE-GGA was carried out for a relaxed structure of MgPb3N.

abc: 5.0770 5.0770 5.0770
angles: 90.00 90.00 90.00
Each line ends with the local moment (μB).
Element x y z (fractional)
Mg 0.5000 0.5000 0.5000  0.00
Pb 0.5000 0.0000 0.0000  0.04
Pb 0.0000 0.5000 0.0000  0.00
Pb 0.0000 0.0000 0.5000  0.00
N 0.0000 0.0000 0.0000  0.26

Values from the calculation:
* energy above the most stable polymorph in this dataset: 0.00 eV/f.u.

[10]
A plane-wave DFT calculation with PBE-GGA was carried out for a relaxed structure of MgPbN3.

abc: 4.2979 4.2979 4.2979
angles: 90.00 90.00 90.00
Each line ends with the local moment (μB).
Element x y z (fractional)
Mg 0.5000 0.5000 0.5000  -0.04
N 0.5000 0.0000 0.0000  0.78
N 0.0000 0.5000 0.0000  0.84
N 0.0000 0.0000 0.5000  0.58
Pb 0.0000 0.0000 0.0000  0.00

[11]
A plane-wave DFT calculation with PBE-GGA was carried out for a relaxed structure of MgPb3N.

abc: 5.4027 5.4027 5.4027
angles: 90.00 90.00 90.00
Element x y z (fractional)
N 0.5000 0.5000 0.5000
Pb 0.0000 0.5000 0.0000
Pb 0.5000 0.0000 0.0000
Pb 0.0000 0.0000 0.5000
Mg 0.0000 0.0000 0.0000

Values from the calculation:
* energy above the most stable polymorph in this dataset: 4.82 eV/f.u.

[12]
A plane-wave DFT calculation with PBE-GGA was carried out for a relaxed structure of MgPbN.

abc: 10.1148 4.0553 3.2249
angles: 90.00 90.00 90.00
Element x y z (fractional)
Mg 0.0000 0.0000 0.0061
Mg 0.5000 0.5000 0.0595
N 0.5000 0.1498 0.5605
N 0.5000 0.8502 0.5605
Pb 0.8094 0.5000 0.5094
Pb 0.1906 0.5000 0.5094

Values from the calculation:
* energy above the most stable polymorph in this dataset: 0.43 eV/f.u.

[13]
A plane-wave DFT calculation with PBE-GGA was carried out for a relaxed structure of Mg4Pb2N.

abc: 4.3437 4.3437 8.4187
angles: 104.95 104.95 90.00
Element x y z (fractional)
Pb 0.3342 0.3342 0.6684
Pb 0.6658 0.6658 0.3316
N 0.0000 0.0000 0.0000
Mg 0.1378 0.1378 0.2757
Mg 0.5000 0.0000 0.0000
Mg 0.8622 0.8622 0.7243
Mg 0.0000 0.5000 0.0000

[14]
A plane-wave DFT calculation with PBE-GGA was carried out for a relaxed structure of MgPbN.

abc: 6.0167 3.4924 6.0895
angles: 90.00 109.46 90.00
Element x y z (fractional)
Pb 0.1699 0.5000 0.3455
Pb 0.1699 0.0000 0.8455
N 0.5582 0.0000 0.9727
N 0.5582 0.5000 0.4727
Mg 0.6275 0.5000 0.8280
Mg 0.6275 0.0000 0.3280

Values from the calculation:
* energy above the most stable polymorph in this dataset: 0.00 eV/f.u.

[15]
A plane-wave DFT calculation with PBE-GGA was carried out for a relaxed structure of MgPbN.

abc: 5.9419 3.4656 6.1418
angles: 90.00 101.32 90.00
Element x y z (fractional)
Mg 0.3784 0.5000 0.3331
Mg 0.3784 0.0000 0.8331
N 0.4441 0.0000 0.5151
N 0.4441 0.5000 0.0151
Pb 0.8219 0.0000 0.5881
Pb 0.8219 0.5000 0.0881

Values from the calculation:
* energy above the most stable polymorph in this dataset: 0.02 eV/f.u.

[16]
A plane-wave DFT calculation with PBE-GGA was carried out for a relaxed structure of Pr2MgPbN.

abc: 4.4647 5.1456 5.1456
angles: 90.00 90.00 90.00
Element x y z (fractional)
N 0.0000 0.0000 0.0000
Pr 0.0000 0.5000 0.0000
Pr 0.0000 0.0000 0.5000
Pb 0.5000 0.5000 0.5000
Mg 0.5000 0.0000 0.0000

[17]
A plane-wave DFT calculation with PBE-GGA was carried out for a relaxed structure of MgPt2PbN.

abc: 4.2086 5.0484 4.2086
angles: 90.00 90.00 90.00
Element x y z (fractional)
Pt 0.5000 0.0000 0.0000
Pt 0.0000 0.0000 0.5000
N 0.0000 0.0000 0.0000
Pb 0.0000 0.5000 0.0000
Mg 0.5000 0.5000 0.5000

[18]
A plane-wave DFT calculation with PBE-GGA was carried out for a relaxed structure of Mg2ScPbN.

abc: 4.4104 4.4104 4.4887
angles: 90.00 90.00 90.00
Element x y z (fractional)
Pb 0.5000 0.5000 0.5000
Mg 0.5000 0.0000 0.0000
Mg 0.0000 0.5000 0.0000
Sc 0.0000 0.0000 0.5000
N 0.0000 0.0000 0.0000

[19]
A plane-wave DFT calculation with PBE-GGA was carried out for a relaxed structure of MgPbSeN2.

abc: 4.4332 4.4332 5.8510
angles: 90.00 90.00 90.00
Each line ends with the local moment (μB).
Element x y z (fractional)
Mg 0.5000 0.5000 0.5000  -0.01
Se 0.0000 0.0000 0.5000  0.06
Pb 0.0000 0.0000 0.0000  -0.04
N 0.5000 0.0000 0.0000  0.82
N 0.0000 0.5000 0.0000  0.82

[20]
A plane-wave DFT calculation with PBE-GGA was carried out for a relaxed structure of Sr2MgPbN.

abc: 5.5649 5.5649 4.1494
angles: 90.00 90.00 90.00
Element x y z (fractional)
N 0.0000 0.0000 0.0000
Mg 0.0000 0.0000 0.5000
Sr 0.5000 0.0000 0.0000
Sr 0.0000 0.5000 0.0000
Pb 0.5000 0.5000 0.5000

Number 1: size of the total moment 1.970 μB per cell, uncorrected formation energy -0.62 eV per atom, Fermi-level density of states 2.3 states/eV per cell. Number 2: size of the total moment 0.001 μB per cell, uncorrected formation energy -0.88 eV per atom, Fermi-level density of states 5.5 states/eV per cell. Number 3: size of the total moment 0.000 μB per cell, uncorrected formation energy -1.25 eV per atom, Fermi-level density of states 4.7 states/eV per cell. Number 4: size of the total moment 0.000 μB per cell, uncorrected formation energy -1.25 eV per atom, Fermi-level density of states 3.7 states/eV per cell. Number 5: size of the total moment 0.000 μB per cell, uncorrected formation energy -1.55 eV per atom, Fermi-level density of states 5.0 states/eV per cell. Number 6: size of the total moment 1.698 μB per cell, uncorrected formation energy 1.10 eV per atom, Fermi-level density of states 3.1 states/eV per cell. Number 7: size of the total moment 5.000 μB per cell, uncorrected formation energy 1.40 eV per atom, Fermi-level density of states 0.9 states/eV per cell. Number 8: size of the total moment 0.000 μB per cell, uncorrected formation energy 0.15 eV per atom, Fermi-level density of states 4.6 states/eV per cell. Number 9: size of the total moment 0.441 μB per cell, uncorrected formation energy 0.51 eV per atom, Fermi-level density of states 4.6 states/eV per cell. Number 10: size of the total moment 2.966 μB per cell, uncorrected formation energy 1.84 eV per atom, Fermi-level density of states 4.3 states/eV per cell. Number 11: size of the total moment 0.000 μB per cell, uncorrected formation energy 1.48 eV per atom, Fermi-level density of states 4.7 states/eV per cell. Number 12: size of the total moment 0.000 μB per cell, uncorrected formation energy 0.01 eV per atom, Fermi-level density of states 1.8 states/eV per cell. Number 13: size of the total moment 0.000 μB per cell, uncorrected formation energy -0.21 eV per atom, Fermi-level density of states 4.7 states/eV per cell. Number 14: size of the total moment 0.000 μB per cell, uncorrected formation energy -0.13 eV per atom, Fermi-level density of states 0.4 states/eV per cell. Number 15: size of the total moment 0.000 μB per cell, uncorrected formation energy -0.13 eV per atom, Fermi-level density of states 0.5 states/eV per cell. Number 16: size of the total moment 0.000 μB per cell, uncorrected formation energy -0.73 eV per atom, Fermi-level density of states 1.9 states/eV per cell. Number 17: size of the total moment 0.000 μB per cell, uncorrected formation energy 0.37 eV per atom, Fermi-level density of states 2.1 states/eV per cell. Number 18: size of the total moment 0.000 μB per cell, uncorrected formation energy -0.68 eV per atom, Fermi-level density of states 0.5 states/eV per cell. Number 19: size of the total moment 2.364 μB per cell, uncorrected formation energy 1.25 eV per atom, Fermi-level density of states 3.3 states/eV per cell. Number 20: size of the total moment 0.000 μB per cell, uncorrected formation energy -0.55 eV per atom, Fermi-level density of states 1.0 states/eV per cell.